BeNbI2N, relaxed, DFT PBE; density = 6.353 g/cm3; distance to the lowest polymorph of the same formula = 0.164 eV per atom
1.0
5.429 0.000 0.000
0.000 5.429 0.000
0.000 0.000 3.278
I Be Nb N
2 1 1 1
Cartesian
0.000 2.715 0.000 I
2.715 0.000 0.000 I
0.000 0.000 0.000 Be
2.715 2.715 1.639 Nb
0.000 0.000 1.639 N

=====

BeINO2, relaxed, DFT PBE; density = 4.461 g/cm3; electronic total energy = -3.6391 eV per atom
1.0
-3.231 0.329 -2.317
-0.281 -3.976 -0.172
-2.478 0.025 3.459
I Be O N
1 1 2 1
Cartesian
0.000 0.000 0.000 I
-2.995 -1.811 0.484 Be
-0.141 -1.988 -0.086 O
-1.615 0.165 -1.159 O
-1.239 0.013 1.729 N

=====

BeI2NO, relaxed, DFT PBE; density = 5.527 g/cm3; distance to the lowest polymorph of the same formula = 1.025 eV per atom
1.0
4.907 0.000 0.000
0.000 4.907 0.000
0.000 0.000 3.654
I Be O N
2 1 1 1
Cartesian
0.000 2.453 0.000 I
2.453 0.000 0.000 I
2.453 2.453 1.827 Be
0.000 0.000 1.827 O
0.000 0.000 0.000 N

=====

BeINO2, relaxed, DFT PBE; density = 4.005 g/cm3; electronic total energy = -4.4278 eV per atom
1.0
-1.205 -2.052 -2.213
-0.586 -2.178 2.339
-6.508 2.783 0.963
I Be O N
1 1 2 1
Cartesian
-3.254 1.392 0.481 I
0.000 0.000 0.000 Be
-0.293 -1.089 1.170 O
-0.602 -1.026 -1.106 O
-4.149 -0.724 0.544 N

=====

BeINO2, relaxed, DFT PBE; density = 4.988 g/cm3; electronic total energy = -3.3385 eV per atom
1.0
3.783 0.000 0.000
0.000 3.783 0.000
0.000 0.000 4.232
I Be O N
1 1 2 1
Cartesian
0.000 0.000 2.116 I
1.891 1.891 2.116 Be
0.000 1.891 0.000 O
1.891 0.000 0.000 O
0.000 0.000 0.000 N

=====

BeINO2, relaxed, DFT PBE; density = 6.345 g/cm3; electronic total energy = -4.3960 eV per atom
1.0
3.530 0.000 0.000
0.000 3.530 0.000
0.000 0.000 3.822
I Be O N
1 1 2 1
Cartesian
1.765 1.765 1.911 I
0.000 0.000 0.000 Be
0.000 1.765 0.000 O
1.765 0.000 0.000 O
0.000 0.000 1.911 N

=====

BeI2NO, relaxed, DFT PBE; density = 3.244 g/cm3; distance to the lowest polymorph of the same formula = 0.000 eV per atom
1.0
-5.081 -1.552 4.857
-4.091 -2.852 -5.191
1.223 -2.582 0.455
I Be O N
2 1 1 1
Cartesian
-2.045 -1.426 -2.596 I
-2.541 -0.776 2.428 I
0.000 0.000 0.000 Be
0.611 -1.291 0.227 O
-3.975 -3.493 0.060 N

=====

BeI2NO, relaxed, DFT PBE; density = 4.438 g/cm3; distance to the lowest polymorph of the same formula = 0.450 eV per atom
1.0
5.976 0.000 0.000
0.000 5.976 0.000
0.000 0.000 3.068
I Be O N
2 1 1 1
Cartesian
0.000 2.988 0.000 I
2.988 0.000 0.000 I
0.000 0.000 0.000 Be
2.988 2.988 1.534 O
0.000 0.000 1.534 N

=====

no.,density of states at the Fermi level (states/eV per cell),volume (Å³/f.u.)
1,4.49,96.6
2,0.65,67.7
3,2.81,88.0
4,3.53,75.4
5,2.06,60.6
6,3.68,47.6
7,5.24,149.9
8,3.22,109.6